Entry 1:
The following is a DFT calculation (PBE) of a relaxed Rb3CuH4 crystal.

Properties
* distance to the lowest polymorph of the same formula: 0.04 eV per formula unit
* density of states at the Fermi level: 0.00 states/eV/atom

Cell lengths 6.2655, 6.6203, 8.6053 Å; angles 90.00, 90.00, 90.00 degrees
Positions (direct):
Rb: 0.5041 0.9312 0.0000
Rb: 0.0221 0.6570 0.2234
Rb: 0.5221 0.3430 0.2766
Rb: 0.0041 0.0688 0.5000
Rb: 0.5221 0.3430 0.7234
Rb: 0.0221 0.6570 0.7766
Cu: 0.9972 0.1947 0.0000
Cu: 0.4972 0.8053 0.5000
H: 0.9517 0.9472 0.0000
H: 0.7738 0.3373 0.0000
H: 0.1220 0.2448 0.1656
H: 0.6220 0.7552 0.3344
H: 0.2738 0.6627 0.5000
H: 0.4517 0.0528 0.5000
H: 0.6220 0.7552 0.6656
H: 0.1220 0.2448 0.8344

Entry 2:
The following is a DFT calculation (PBE) of a relaxed Li2Y crystal.

Properties
* formation energy from the elements: 40 kJ/mol of formula units
* distance to the lowest polymorph of the same formula: 0.09 eV per formula unit
* density of states at the Fermi level: 0.97 states/eV/atom

Cell lengths 3.3668, 3.3668, 7.8451 Å; angles 90.00, 90.00, 120.00 degrees
Positions (direct):
Li: 0.6667 0.3333 0.6524
Li: 0.3333 0.6667 0.3476
Y: 0.0000 0.0000 0.0000

Entry 3:
The following is a DFT calculation (PBE) of a relaxed Dy2Ga2Ni5Ge crystal.

Properties
* formation energy from the elements: -352 kJ/mol of formula units
* density of states at the Fermi level: 0.82 states/eV/atom

Cell lengths 3.1557, 9.8595, 9.8595 Å; angles 90.00, 90.00, 90.00 degrees
Positions (direct):
Dy: 0.0000 0.6744 0.1744
Dy: 0.0000 0.3256 0.8256
Dy: 0.0000 0.1744 0.3256
Dy: 0.0000 0.8256 0.6744
Ga: 0.0000 0.1268 0.6268
Ga: 0.0000 0.8732 0.3732
Ga: 0.0000 0.6268 0.8732
Ga: 0.0000 0.3732 0.1268
Ni: 0.5000 0.1917 0.0503
Ni: 0.5000 0.8083 0.9497
Ni: 0.5000 0.0503 0.8083
Ni: 0.5000 0.6917 0.4497
Ni: 0.5000 0.9497 0.1917
Ni: 0.5000 0.3083 0.5503
Ni: 0.5000 0.5503 0.6917
Ni: 0.5000 0.4497 0.3083
Ni: 0.5000 0.5000 0.0000
Ni: 0.5000 0.0000 0.5000
Ge: 0.0000 0.0000 0.0000
Ge: 0.0000 0.5000 0.5000

Entry 4:
The following is a DFT calculation (PBE) of a relaxed Cs3Rb2Au2 crystal.

Properties
* formation energy from the elements: -130 kJ/mol of formula units
* distance to the lowest polymorph of the same formula: 0.00 eV per formula unit
* density of states at the Fermi level: 0.62 states/eV/atom

Cell lengths 4.8449, 8.9277, 12.4199 Å; angles 120.73, 90.00, 105.74 degrees
Positions (direct):
Cs: 0.5000 0.0000 0.0000
Cs: 0.6170 0.2340 0.4215
Cs: 0.3830 0.7660 0.5785
Rb: 0.8039 0.6079 0.1975
Rb: 0.1961 0.3921 0.8025
Au: 0.8264 0.6529 0.7478
Au: 0.1736 0.3471 0.2522

Entry 5:
The following is a DFT calculation (PBE) of a relaxed GaB2Rh8 crystal.

Properties
* formation energy from the elements: -174 kJ/mol of formula units
* density of states at the Fermi level: 1.11 states/eV/atom

Cell lengths 4.2190, 6.0998, 6.0998 Å; angles 108.56, 98.82, 98.82 degrees
Positions (direct):
Ga: 0.5000 0.0000 0.0000
B: 0.0000 0.3171 0.6829
B: 0.0000 0.6829 0.3171
Rh: 0.9036 0.9353 0.6708
Rh: 0.9036 0.6708 0.9353
Rh: 0.3021 0.6226 0.6226
Rh: 0.5000 0.7457 0.2543
Rh: 0.5000 0.2543 0.7457
Rh: 0.6979 0.3774 0.3774
Rh: 0.0964 0.3292 0.0647
Rh: 0.0964 0.0647 0.3292

Entry 6:
The following is a DFT calculation (PBE) of a relaxed KTa2Te crystal.

Properties
* formation energy (no corrections): 0.73 eV/atom
* density of states at the Fermi level: 0.74 states/eV/atom

Cell lengths 6.6740, 6.6740, 5.8550 Å; angles 69.22, 69.22, 26.39 degrees
Positions (direct):
K: 0.2500 0.2500 0.2500
Ta: 0.0403 0.0403 0.8878
Ta: 0.4597 0.4597 0.6122
Te: 0.7500 0.7500 0.7500